Record 1
Here is an optimized crystal structure of CdCoAs from Alexandria via LeMat-Bulk. Energies are from PBEsol.

Unit cell a=4.135 b=4.135 c=4.135 alpha=60.00 beta=60.00 gamma=60.00
Last column: magnetic moment on the atom in μB.
Fractional coordinates of all 3 atoms:
Co 0.250 0.250 0.250  0.53
Cd 0.500 0.500 0.500  0.01
As 0.000 0.000 0.000  0.01

## Properties
density: 8.18 Mg/m³
E_tot: -4.560 eV/atom
ΔE_f: 121 meV per atom


Record 2
Here is an optimized crystal structure of CdCoAs2 from Alexandria via LeMat-Bulk. Energies are from PBEsol.

Unit cell a=3.930 b=3.930 c=5.046 alpha=112.92 beta=112.92 gamma=90.00
Fractional coordinates of all 4 atoms:
Co 0.250 0.750 0.500
As 0.750 0.250 0.500
As 0.000 0.000 0.000
Cd 0.500 0.500 0.000

## Properties
density: 8.20 Mg/m³
E_tot: -4.382 eV/atom
ΔE_f: 405 meV per atom


Record 3
Here is an optimized crystal structure of CdCo2AsS from Alexandria via LeMat-Bulk. Energies are from PBEsol.

Unit cell a=4.289 b=4.289 c=4.959 alpha=90.00 beta=90.00 gamma=90.00
Last column: magnetic moment on the atom in μB.
Fractional coordinates of all 5 atoms:
Co 0.000 0.500 0.000  0.97
Co 0.500 0.000 0.000  0.97
Cd 0.500 0.500 0.500  -0.03
As 0.000 0.000 0.000  -0.03
S 0.000 0.000 0.500  0.07

## Properties
uncorrected formation energy: 711 meV per atom
density: 6.14 Mg/m³
E_tot: -4.522 eV/atom


Record 4
Here is an optimized crystal structure of CdCoAsSe2 from Alexandria via LeMat-Bulk. Energies are from PBEsol.

Unit cell a=4.962 b=5.109 c=5.109 alpha=90.00 beta=90.00 gamma=90.00
Last column: magnetic moment on the atom in μB.
Fractional coordinates of all 5 atoms:
Co 0.500 0.500 0.500  2.23
Se 0.000 0.500 0.000  0.07
Se 0.000 0.000 0.500  0.07
Cd 0.000 0.000 0.000  0.00
As 0.500 0.000 0.000  0.00

## Properties
uncorrected formation energy: 1342 meV per atom
density: 5.18 Mg/m³
E_tot: -3.006 eV/atom


Record 5
Here is an optimized crystal structure of CdCoAs2Se from Alexandria via LeMat-Bulk. Energies are from PBEsol.

Unit cell a=4.992 b=4.992 c=5.122 alpha=90.00 beta=90.00 gamma=90.00
Last column: magnetic moment on the atom in μB.
Fractional coordinates of all 5 atoms:
Co 0.500 0.500 0.500  2.19
As 0.500 0.000 0.000  0.04
As 0.000 0.500 0.000  0.04
Cd 0.000 0.000 0.000  0.00
Se 0.000 0.000 0.500  0.01

## Properties
uncorrected formation energy: 1476 meV per atom
density: 5.21 Mg/m³
E_tot: -3.123 eV/atom


Record 6
Here is an optimized crystal structure of Cr2CdInAs from Alexandria via LeMat-Bulk. Energies are from PBEsol.

Unit cell a=5.058 b=5.100 c=5.100 alpha=90.00 beta=90.00 gamma=90.00
Last column: magnetic moment on the atom in μB.
Fractional coordinates of all 5 atoms:
Cr 0.000 0.000 0.500  3.86
Cr 0.000 0.500 0.000  3.86
As 0.500 0.000 0.000  -0.10
Cd 0.500 0.500 0.500  -0.07
In 0.000 0.000 0.000  0.00

## Properties
density: 5.13 Mg/m³
E_tot: -4.597 eV/atom
ΔE_f: 1357 meV per atom


Record 7
Here is an optimized crystal structure of CsCd4As3 from Alexandria via LeMat-Bulk. Energies are from PBEsol.

Unit cell a=4.474 b=4.474 c=10.660 alpha=90.00 beta=90.00 gamma=90.00
Fractional coordinates of all 8 atoms:
Cd 0.500 0.000 0.165
Cd 0.000 0.500 0.835
Cd 0.000 0.500 0.165
Cd 0.500 0.000 0.835
Cs 0.000 0.000 0.500
As 0.500 0.500 0.693
As 0.000 0.000 0.000
As 0.500 0.500 0.307

## Properties
density: 6.28 Mg/m³
E_tot: -2.863 eV/atom
ΔE_f: -232 meV per atom


Record 8
Here is an optimized crystal structure of CdCuAs2 from Alexandria via LeMat-Bulk. Energies are from PBEsol.

Unit cell a=3.726 b=4.396 c=5.606 alpha=113.08 beta=109.41 gamma=90.00
Fractional coordinates of all 4 atoms:
As 0.664 0.664 0.327
As 0.336 0.336 0.673
Cu 0.000 0.500 0.000
Cd 0.500 0.000 0.000

## Properties
density: 6.87 Mg/m³
E_tot: -3.709 eV/atom
ΔE_f: 226 meV per atom


Record 9
Here is an optimized crystal structure of SrCd2CuAs from Alexandria via LeMat-Bulk. Energies are from PBEsol.

Unit cell a=4.490 b=5.400 c=5.400 alpha=90.00 beta=90.00 gamma=90.00
Fractional coordinates of all 5 atoms:
Cu 0.500 0.000 0.000
Cd 0.000 0.000 0.500
Cd 0.000 0.500 0.000
As 0.000 0.000 0.000
Sr 0.500 0.500 0.500

## Properties
density: 5.72 Mg/m³
E_tot: -2.627 eV/atom
ΔE_f: 108 meV per atom


Record 10
Here is an optimized crystal structure of Eu2Cd2As3 from Alexandria via LeMat-Bulk. Energies are from PBEsol.

Unit cell a=4.351 b=8.190 c=10.017 alpha=82.47 beta=77.46 gamma=74.60
Last column: magnetic moment on the atom in μB.
Fractional coordinates of all 14 atoms:
Eu 0.399 0.253 0.948  6.80
Eu 0.730 0.866 0.674  6.79
Eu 0.270 0.134 0.326  6.79
Eu 0.601 0.747 0.052  6.80
Cd 0.050 0.217 0.683  0.00
Cd 0.592 0.478 0.338  0.00
Cd 0.950 0.783 0.317  0.00
Cd 0.408 0.522 0.662  0.00
As 0.835 0.505 0.825  -0.04
As 0.914 0.051 0.121  -0.03
As 0.368 0.788 0.477  -0.03
As 0.086 0.949 0.879  -0.03
As 0.632 0.212 0.523  -0.03
As 0.165 0.495 0.175  -0.04

## Properties
density: 7.47 Mg/m³
E_tot: -6.348 eV/atom
ΔE_f: -800 meV per atom


Record 11
Here is an optimized crystal structure of Cd2AsF from Alexandria via LeMat-Bulk. Energies are from PBEsol.

Unit cell a=4.594 b=4.594 c=4.594 alpha=60.00 beta=60.00 gamma=60.00
Fractional coordinates of all 4 atoms:
Cd 0.750 0.750 0.750
Cd 0.250 0.250 0.250
F 0.000 0.000 0.000
As 0.500 0.500 0.500

## Properties
uncorrected formation energy: -654 meV per atom
density: 7.72 Mg/m³
E_tot: -3.011 eV/atom


Record 12
Here is an optimized crystal structure of CdAsF2 from Alexandria via LeMat-Bulk. Energies are from PBEsol.

Unit cell a=2.941 b=2.941 c=8.272 alpha=79.76 beta=79.76 gamma=60.00
Fractional coordinates of all 4 atoms:
Cd 0.500 0.500 0.500
As 0.000 0.000 0.000
F 0.080 0.080 0.759
F 0.920 0.920 0.241

## Properties
ΔE to the lowest computed polymorph: 0 meV per atom
uncorrected formation energy: -1247 meV per atom
density: 6.17 Mg/m³
E_tot: -3.787 eV/atom


Record 13
Here is an optimized crystal structure of CdAsN2F from Alexandria via LeMat-Bulk. Energies are from PBEsol.

Unit cell a=3.831 b=3.831 c=3.978 alpha=90.00 beta=90.00 gamma=90.00
Fractional coordinates of all 5 atoms:
As 0.000 0.000 0.000
F 0.000 0.000 0.500
N 0.500 0.000 0.000
N 0.000 0.500 0.000
Cd 0.500 0.500 0.500

## Properties
uncorrected formation energy: 308 meV per atom
density: 6.67 Mg/m³
E_tot: -4.749 eV/atom